Material: TcMo2W
Method: DFT, GGA-PBE
State: optimized geometry

POSCAR file:
```
TcMo2W
1.0
-3.109 -1.038 -3.830
2.327 -1.381 -4.253
0.287 -1.402 4.834
Mo Tc W
2 1 1
direct
0.000 0.000 0.000
0.500 0.500 0.000
0.250 0.750 0.500
0.750 0.250 0.500
```

DFT formation energy: 6.8 kcal/mol of atoms
Crystal system: tetragonal
Calculated volume: 63.2 Å³/cell
Theoretical density: 12.4 g cm⁻³
Excess energy over the best structure of this formula in the dataset: 26.9 kJ/mol of atoms

Material: LaPm2Sm6Er
Method: DFT, GGA-PBE
State: optimized geometry

POSCAR file:
```
LaPm2Sm6Er
1.0
-5.409 6.984 4.483
-1.631 -6.263 6.162
7.667 4.561 0.518
La Pm Sm Er
2 4 12 2
direct
0.250 0.404 0.596
0.750 0.596 0.404
0.458 0.811 0.710
0.042 0.290 0.189
0.542 0.189 0.290
0.958 0.710 0.811
0.056 0.120 0.752
0.444 0.248 0.880
0.944 0.880 0.248
0.556 0.752 0.120
0.317 0.972 0.422
0.183 0.578 0.028
0.683 0.028 0.578
0.817 0.422 0.972
0.122 0.708 0.500
0.378 0.500 0.292
0.878 0.292 0.500
0.622 0.500 0.708
0.250 0.979 0.021
0.750 0.021 0.979
```

DFT formation energy: 2.8 kcal/mol of atoms
Crystal system: monoclinic
Calculated volume: 687.3 Å³/cell
Theoretical density: 7.2 g cm⁻³

Material: AcTb2Y6Ho
Method: DFT, GGA-PBE
State: optimized geometry

POSCAR file:
```
AcTb2Y6Ho
1.0
9.159 -1.942 -2.016
0.930 8.659 -2.038
0.930 -2.357 8.577
Ac Tb Y Ho
2 4 12 2
direct
0.250 0.971 0.029
0.750 0.029 0.971
0.449 0.798 0.686
0.051 0.314 0.202
0.551 0.202 0.314
0.949 0.686 0.798
0.058 0.129 0.752
0.442 0.248 0.871
0.942 0.871 0.248
0.558 0.752 0.129
0.318 0.988 0.443
0.182 0.557 0.012
0.682 0.012 0.557
0.818 0.443 0.988
0.114 0.711 0.490
0.386 0.510 0.289
0.886 0.289 0.510
0.614 0.490 0.711
0.250 0.413 0.587
0.750 0.587 0.413
```

DFT formation energy: 2.9 kcal/mol of atoms
Crystal system: monoclinic
Calculated volume: 676.0 Å³/cell
Theoretical density: 6.1 g cm⁻³

Material: LaNi2Pt2
Method: DFT, GGA-PBE
State: optimized geometry

POSCAR file:
```
LaNi2Pt2
1.0
7.351 0.000 0.000
0.000 7.351 0.000
0.000 0.000 3.050
Ni Pt La
4 4 2
direct
0.373 0.873 0.000
0.873 0.627 0.000
0.627 0.127 0.000
0.127 0.373 0.000
0.166 0.666 0.500
0.666 0.834 0.500
0.834 0.334 0.500
0.334 0.166 0.500
0.000 0.000 0.000
0.500 0.500 0.000
```

DFT formation energy: -9.0 kcal/mol of atoms
Crystal system: tetragonal
Calculated volume: 164.8 Å³/cell
Theoretical density: 13.0 g cm⁻³
Excess energy over the best structure of this formula in the dataset: 12.3 kJ/mol of atoms

Material: Zr2ScCr
Method: DFT, GGA-PBE
State: optimized geometry

POSCAR file:
```
Zr2ScCr
1.0
-3.622 -4.292 -0.874
-0.579 -5.273 -2.042
0.103 -3.705 3.379
Cr Sc Zr
1 1 2
direct
0.750 0.750 0.750
0.250 0.250 0.250
0.039 0.039 0.961
0.461 0.461 0.539
```

DFT formation energy: 3.3 kcal/mol of atoms
Crystal system: orthorhombic
Calculated volume: 82.1 Å³/cell
Theoretical density: 5.7 g cm⁻³
Excess energy over the best structure of this formula in the dataset: 0.0 kJ/mol of atoms

Material: Tb4DyY3S8
Method: DFT, GGA-PBE
State: optimized geometry

POSCAR file:
```
Tb4DyY3S8
1.0
-1.447 5.913 4.945
0.060 -5.024 6.025
6.144 0.367 -4.860
Tb Dy Y S
4 1 3 8
direct
0.500 0.000 0.000
0.500 0.000 0.500
0.000 0.000 0.000
0.000 0.000 0.500
0.000 0.500 0.000
0.500 0.500 0.000
0.500 0.500 0.500
0.000 0.500 0.500
0.249 0.749 0.999
0.249 0.749 0.498
0.250 0.251 0.501
0.750 0.749 0.999
0.250 0.251 0.001
0.750 0.749 0.499
0.751 0.251 0.502
0.751 0.251 0.001
```

E_form (uncorrected): -1.998 eV per atom
Crystal system: trigonal
Calculated volume: 341.3 Å³/cell
Theoretical density: 6.4 g cm⁻³